No. 1
{
  "formula": "Na3Ni5Te12",
  "functional": "PBE",
  "state": "relaxed",
  "lattice": [[-8.120, 8.120, 8.120], [8.120, -8.120, 8.120], [8.120, 8.120, -8.120]],
  "species": ["Na", "Na", "Na", "Na", "Na", "Na", "Na", "Na", "Na", "Na", "Na", "Na", "Ni", "Ni", "Ni", "Ni", "Ni", "Ni", "Ni", "Ni", "Ni", "Ni", "Ni", "Ni", "Ni", "Ni", "Ni", "Ni", "Ni", "Ni", "Ni", "Ni", "Te", "Te", "Te", "Te", "Te", "Te", "Te", "Te", "Te", "Te", "Te", "Te", "Te", "Te", "Te", "Te", "Te", "Te", "Te", "Te", "Te", "Te", "Te", "Te", "Te", "Te", "Te", "Te", "Te", "Te", "Te", "Te", "Te", "Te", "Te", "Te", "Te", "Te", "Te", "Te", "Te", "Te", "Te", "Te", "Te", "Te", "Te", "Te"],
  "frac_coords": [[0.125, 0.250, 0.375], [0.125, 0.375, 0.750], [0.250, 0.375, 0.125], [0.250, 0.875, 0.625], [0.375, 0.125, 0.250], [0.375, 0.750, 0.125], [0.625, 0.250, 0.875], [0.625, 0.875, 0.750], [0.750, 0.125, 0.375], [0.750, 0.625, 0.875], [0.875, 0.625, 0.250], [0.875, 0.750, 0.625], [0.000, 0.000, 0.000], [0.000, 0.000, 0.500], [0.000, 0.500, 0.000], [0.000, 0.500, 0.500], [0.125, 0.750, 0.875], [0.125, 0.875, 0.250], [0.250, 0.125, 0.875], [0.250, 0.625, 0.375], [0.375, 0.250, 0.625], [0.375, 0.625, 0.750], [0.500, 0.000, 0.000], [0.500, 0.000, 0.500], [0.500, 0.500, 0.000], [0.500, 0.500, 0.500], [0.625, 0.375, 0.250], [0.625, 0.750, 0.375], [0.750, 0.375, 0.625], [0.750, 0.875, 0.125], [0.875, 0.125, 0.750], [0.875, 0.250, 0.125], [0.022, 0.207, 0.094], [0.022, 0.315, 0.928], [0.072, 0.594, 0.386], [0.072, 0.978, 0.685], [0.094, 0.022, 0.207], [0.094, 0.572, 0.886], [0.114, 0.707, 0.685], [0.114, 0.906, 0.428], [0.185, 0.207, 0.614], [0.185, 0.478, 0.572], [0.207, 0.094, 0.022], [0.207, 0.614, 0.185], [0.293, 0.315, 0.886], [0.293, 0.478, 0.406], [0.315, 0.886, 0.293], [0.315, 0.928, 0.022], [0.386, 0.072, 0.594], [0.386, 0.815, 0.793], [0.406, 0.293, 0.478], [0.406, 0.614, 0.928], [0.428, 0.114, 0.906], [0.428, 0.815, 0.522], [0.478, 0.406, 0.293], [0.478, 0.572, 0.185], [0.522, 0.428, 0.815], [0.522, 0.594, 0.707], [0.572, 0.185, 0.478], [0.572, 0.886, 0.094], [0.594, 0.386, 0.072], [0.594, 0.707, 0.522], [0.614, 0.185, 0.207], [0.614, 0.928, 0.406], [0.685, 0.072, 0.978], [0.685, 0.114, 0.707], [0.707, 0.522, 0.594], [0.707, 0.685, 0.114], [0.793, 0.386, 0.815], [0.793, 0.906, 0.978], [0.815, 0.522, 0.428], [0.815, 0.793, 0.386], [0.886, 0.094, 0.572], [0.886, 0.293, 0.315], [0.906, 0.428, 0.114], [0.906, 0.978, 0.793], [0.928, 0.022, 0.315], [0.928, 0.406, 0.614], [0.978, 0.685, 0.072], [0.978, 0.793, 0.906]],
  "formation_energy_uncorrected_kj_per_mol_atoms": -16.9
}

---

No. 2
{
  "formula": "NaNiTe3",
  "functional": "PBE",
  "state": "relaxed",
  "lattice": [[5.151, 0.000, 0.000], [0.000, 5.151, 0.000], [0.000, 0.000, 5.151]],
  "species": ["Na", "Ni", "Te", "Te", "Te"],
  "frac_coords": [[0.000, 0.000, 0.000], [0.500, 0.500, 0.500], [0.000, 0.500, 0.500], [0.500, 0.000, 0.500], [0.500, 0.500, 0.000]],
  "formation_energy_uncorrected_kj_per_mol_atoms": -5.8,
  "e_above_lowest_polymorph_ev_per_atom": 0.000
}

---

No. 3
{
  "formula": "Na2Ni2Te",
  "functional": "PBE",
  "state": "relaxed",
  "lattice": [[-1.660, 1.660, 9.684], [1.660, -1.660, 9.684], [1.660, 1.660, -9.684]],
  "species": ["Na", "Na", "Ni", "Ni", "Te"],
  "frac_coords": [[0.122, 0.122, 0.000], [0.878, 0.878, 0.000], [0.250, 0.750, 0.500], [0.750, 0.250, 0.500], [0.500, 0.500, 0.000]],
  "formation_energy_uncorrected_kj_per_mol_atoms": 7.1,
  "e_above_lowest_polymorph_ev_per_atom": 0.066
}

---

No. 4
{
  "formula": "Na4Th3NiTe8",
  "functional": "PBE",
  "state": "relaxed",
  "lattice": [[7.723, -4.374, 0.000], [7.723, 4.374, 0.000], [-5.180, 0.000, 7.578]],
  "species": ["Na", "Na", "Na", "Na", "Th", "Th", "Th", "Ni", "Te", "Te", "Te", "Te", "Te", "Te", "Te", "Te"],
  "frac_coords": [[0.000, 0.000, 0.000], [0.000, 0.500, 0.000], [0.500, 0.000, 0.000], [0.500, 0.500, 0.000], [0.000, 0.000, 0.500], [0.000, 0.500, 0.500], [0.500, 0.000, 0.500], [0.500, 0.500, 0.500], [0.249, 0.249, 0.749], [0.256, 0.256, 0.263], [0.269, 0.723, 0.718], [0.277, 0.731, 0.282], [0.723, 0.269, 0.718], [0.731, 0.277, 0.282], [0.744, 0.744, 0.737], [0.751, 0.751, 0.251]],
  "formation_energy_uncorrected_kj_per_mol_atoms": -88.8
}

---

No. 5
{
  "formula": "NaTiNiTe3",
  "functional": "PBE",
  "state": "relaxed",
  "lattice": [[8.467, 0.000, 0.000], [0.000, 3.824, 0.000], [-3.992, 0.000, 9.455]],
  "species": ["Na", "Na", "Ti", "Ti", "Ni", "Ni", "Te", "Te", "Te", "Te", "Te", "Te"],
  "frac_coords": [[0.230, 0.250, 0.215], [0.770, 0.750, 0.785], [0.209, 0.750, 0.681], [0.791, 0.250, 0.319], [0.414, 0.250, 0.898], [0.586, 0.750, 0.102], [0.058, 0.750, 0.373], [0.259, 0.750, 0.960], [0.427, 0.250, 0.655], [0.573, 0.750, 0.345], [0.741, 0.250, 0.040], [0.942, 0.250, 0.627]],
  "formation_energy_uncorrected_kj_per_mol_atoms": -61.1
}

---

No. 6
{
  "formula": "NaTlNi2Te",
  "functional": "PBE",
  "state": "relaxed",
  "lattice": [[4.739, 0.000, 0.000], [0.000, 4.739, 0.000], [0.000, 0.000, 6.185]],
  "species": ["Na", "Tl", "Ni", "Ni", "Te"],
  "frac_coords": [[0.000, 0.000, 0.000], [0.500, 0.500, 0.000], [0.000, 0.500, 0.500], [0.500, 0.000, 0.500], [0.500, 0.500, 0.500]],
  "formation_energy_uncorrected_kj_per_mol_atoms": 40.5
}

---

No. 7
{
  "formula": "Na4U3NiTe8",
  "functional": "PBE",
  "state": "relaxed",
  "lattice": [[7.503, -4.325, 0.000], [7.503, 4.325, 0.000], [-5.007, 0.000, 7.583]],
  "species": ["Na", "Na", "Na", "Na", "U", "U", "U", "Ni", "Te", "Te", "Te", "Te", "Te", "Te", "Te", "Te"],
  "frac_coords": [[0.000, 0.000, 0.000], [0.000, 0.500, 0.000], [0.500, 0.000, 0.000], [0.500, 0.500, 0.000], [0.000, 0.000, 0.500], [0.000, 0.500, 0.500], [0.500, 0.000, 0.500], [0.500, 0.500, 0.500], [0.247, 0.247, 0.740], [0.262, 0.729, 0.720], [0.269, 0.269, 0.278], [0.271, 0.738, 0.280], [0.729, 0.262, 0.720], [0.731, 0.731, 0.722], [0.738, 0.271, 0.280], [0.753, 0.753, 0.260]],
  "formation_energy_uncorrected_kj_per_mol_atoms": -62.6
}

---

No. 8
{
  "formula": "NaUNiTe3",
  "functional": "PBE",
  "state": "relaxed",
  "lattice": [[9.169, 0.000, 0.000], [0.000, 4.136, 0.000], [-3.124, 0.000, 9.346]],
  "species": ["Na", "Na", "U", "U", "Ni", "Ni", "Te", "Te", "Te", "Te", "Te", "Te"],
  "frac_coords": [[0.200, 0.250, 0.245], [0.800, 0.750, 0.755], [0.315, 0.750, 0.834], [0.685, 0.250, 0.166], [0.088, 0.250, 0.592], [0.912, 0.750, 0.408], [0.086, 0.250, 0.856], [0.208, 0.750, 0.516], [0.438, 0.750, 0.167], [0.562, 0.250, 0.833], [0.792, 0.250, 0.484], [0.914, 0.750, 0.144]],
  "formation_energy_uncorrected_kj_per_mol_atoms": -56.2
}

---

No. 9
{
  "formula": "Na3U2NiTe6",
  "functional": "PBE",
  "state": "relaxed",
  "lattice": [[3.720, -6.454, 0.000], [3.720, 6.454, 0.000], [-2.493, 0.000, 7.547]],
  "species": ["Na", "Na", "Na", "U", "U", "Ni", "Te", "Te", "Te", "Te", "Te", "Te"],
  "frac_coords": [[0.000, 0.000, 0.000], [0.326, 0.674, 0.000], [0.674, 0.326, 0.000], [0.166, 0.834, 0.500], [0.834, 0.166, 0.500], [0.500, 0.500, 0.500], [0.116, 0.427, 0.278], [0.265, 0.265, 0.723], [0.427, 0.116, 0.278], [0.573, 0.884, 0.722], [0.735, 0.735, 0.277], [0.884, 0.573, 0.722]],
  "formation_energy_uncorrected_kj_per_mol_atoms": -58.6
}

---

No. 10
{
  "formula": "Na3Zr3NiTe8",
  "functional": "PBE",
  "state": "relaxed",
  "lattice": [[8.165, 0.000, 0.000], [4.071, 7.079, 0.000], [4.081, 2.359, 7.808]],
  "species": ["Na", "Na", "Na", "Zr", "Zr", "Zr", "Ni", "Te", "Te", "Te", "Te", "Te", "Te", "Te", "Te"],
  "frac_coords": [[0.000, 0.000, 0.000], [0.000, 0.500, 0.000], [0.500, 0.000, 0.000], [0.000, 0.500, 0.500], [0.500, 0.000, 0.500], [0.500, 0.500, 0.500], [0.000, 0.000, 0.500], [0.224, 0.225, 0.294], [0.226, 0.755, 0.294], [0.246, 0.773, 0.707], [0.258, 0.258, 0.725], [0.742, 0.742, 0.275], [0.754, 0.227, 0.293], [0.774, 0.245, 0.706], [0.776, 0.775, 0.706]],
  "formation_energy_uncorrected_kj_per_mol_atoms": -72.0
}